A | {"formula": "InSiN2", "functional": "SCAN", "state": "single point on PBEsol structure", "dos_at_fermi_per_ev_cell": 4.60, "sg": "R-3m, No. 166", "cell": [[3.388, 0.000, 0.000], [-1.694, 2.934, 0.000], [0.000, 0.000, 16.749]], "species": ["In", "In", "In", "Si", "Si", "Si", "N", "N", "N", "N", "N", "N"], "frac_coords": [[0.000, 0.000, 0.000], [0.333, 0.667, 0.667], [0.667, 0.333, 0.333], [0.000, 0.000, 0.500], [0.333, 0.667, 0.167], [0.667, 0.333, 0.833], [0.000, 0.000, 0.401], [0.000, 0.000, 0.599], [0.333, 0.667, 0.067], [0.333, 0.667, 0.266], [0.667, 0.333, 0.734], [0.667, 0.333, 0.933]]}


B | {"formula": "InSiN2", "functional": "SCAN", "state": "single point on PBEsol structure", "dos_at_fermi_per_ev_cell": 8.96, "sg": "I-42d, No. 122", "cell": [[4.891, 0.000, 0.000], [0.000, 4.891, 0.000], [0.000, 0.000, 8.391]], "species": ["In", "In", "In", "In", "Si", "Si", "Si", "Si", "N", "N", "N", "N", "N", "N", "N", "N"], "frac_coords": [[0.000, 0.000, 0.000], [0.000, 0.500, 0.250], [0.500, 0.000, 0.750], [0.500, 0.500, 0.500], [0.000, 0.000, 0.500], [0.000, 0.500, 0.750], [0.500, 0.000, 0.250], [0.500, 0.500, 0.000], [0.142, 0.750, 0.625], [0.250, 0.142, 0.375], [0.250, 0.358, 0.875], [0.358, 0.750, 0.125], [0.642, 0.250, 0.125], [0.750, 0.642, 0.875], [0.750, 0.858, 0.375], [0.858, 0.250, 0.625]]}


Relative energy table, unit eV/atom: A 0.575; B 0.000


A | {"formula": "SrInTeN2", "functional": "SCAN", "state": "single point on PBEsol structure", "dos_at_fermi_per_ev_cell": 2.29, "sg": "P4/mmm, No. 123", "cell": [[4.748, 0.000, 0.000], [0.000, 4.748, 0.000], [0.000, 0.000, 6.474]], "species": ["Sr", "In", "Te", "N", "N"], "frac_coords": [[0.000, 0.000, 0.000], [0.500, 0.500, 0.500], [0.000, 0.000, 0.500], [0.000, 0.500, 0.000], [0.500, 0.000, 0.000]]}


B | {"formula": "SrInTeN2", "functional": "SCAN", "state": "single point on PBEsol structure", "dos_at_fermi_per_ev_cell": 1.12, "sg": "P4/mmm, No. 123", "cell": [[4.455, 0.000, 0.000], [0.000, 4.455, 0.000], [0.000, 0.000, 5.788]], "species": ["Sr", "In", "Te", "N", "N"], "frac_coords": [[0.000, 0.000, 0.000], [0.500, 0.500, 0.500], [0.500, 0.500, 0.000], [0.000, 0.500, 0.500], [0.500, 0.000, 0.500]]}


Relative energy table, unit eV/atom: A 0.548; B 0.000


A | {"formula": "NaIn2Sn2", "functional": "SCAN", "state": "single point on PBEsol structure", "dos_at_fermi_per_ev_cell": 5.01, "sg": "P4/mbm, No. 127", "cell": [[8.347, 0.000, 0.000], [0.000, 8.347, 0.000], [0.000, 0.000, 3.854]], "species": ["Na", "Na", "In", "In", "In", "In", "Sn", "Sn", "Sn", "Sn"], "frac_coords": [[0.000, 0.000, 0.000], [0.500, 0.500, 0.000], [0.156, 0.344, 0.500], [0.344, 0.844, 0.500], [0.656, 0.156, 0.500], [0.844, 0.656, 0.500], [0.139, 0.639, 0.000], [0.361, 0.139, 0.000], [0.639, 0.861, 0.000], [0.861, 0.361, 0.000]]}


B | {"formula": "NaIn2Sn2", "functional": "SCAN", "state": "single point on PBEsol structure", "dos_at_fermi_per_ev_cell": 3.15, "sg": "I4/mmm, No. 139", "cell": [[5.122, 0.000, 0.000], [0.000, 5.122, 0.000], [0.000, 0.000, 11.426]], "species": ["Na", "Na", "In", "In", "In", "In", "Sn", "Sn", "Sn", "Sn"], "frac_coords": [[0.000, 0.000, 0.000], [0.500, 0.500, 0.500], [0.000, 0.500, 0.250], [0.000, 0.500, 0.750], [0.500, 0.000, 0.250], [0.500, 0.000, 0.750], [0.000, 0.000, 0.377], [0.000, 0.000, 0.623], [0.500, 0.500, 0.123], [0.500, 0.500, 0.877]]}


Relative energy table, unit eV/atom: A 0.069; B 0.000


A | {"formula": "Nb3InS", "functional": "SCAN", "state": "single point on PBEsol structure", "dos_at_fermi_per_ev_cell": 6.86, "sg": "Pm-3m, No. 221", "cell": [[4.988, 0.000, 0.000], [0.000, 4.988, 0.000], [0.000, 0.000, 4.988]], "species": ["Nb", "Nb", "Nb", "In", "S"], "frac_coords": [[0.000, 0.000, 0.500], [0.000, 0.500, 0.000], [0.500, 0.000, 0.000], [0.000, 0.000, 0.000], [0.500, 0.500, 0.500]]}


B | {"formula": "Nb3InS", "functional": "SCAN", "state": "single point on PBEsol structure", "dos_at_fermi_per_ev_cell": 5.40, "sg": "Pm-3m, No. 221", "cell": [[4.570, 0.000, 0.000], [0.000, 4.570, 0.000], [0.000, 0.000, 4.570]], "species": ["Nb", "Nb", "Nb", "In", "S"], "frac_coords": [[0.000, 0.000, 0.500], [0.000, 0.500, 0.000], [0.500, 0.000, 0.000], [0.500, 0.500, 0.500], [0.000, 0.000, 0.000]]}


Relative energy table, unit eV/atom: A 2.064; B 0.000


A | {"formula": "Sr3InNiO6", "functional": "SCAN", "state": "single point on PBEsol structure", "dos_at_fermi_per_ev_cell": 10.64, "sg": "R-3c, No. 167", "cell": [[4.777, 2.758, 3.702], [-4.777, 2.758, 3.702], [0.000, -5.516, 3.702]], "species": ["Sr", "Sr", "Sr", "Sr", "Sr", "Sr", "In", "In", "Ni", "Ni", "O", "O", "O", "O", "O", "O", "O", "O", "O", "O", "O", "O"], "frac_coords": [[0.121, 0.750, 0.379], [0.250, 0.621, 0.879], [0.379, 0.121, 0.750], [0.621, 0.879, 0.250], [0.750, 0.379, 0.121], [0.879, 0.250, 0.621], [0.250, 0.250, 0.250], [0.750, 0.750, 0.750], [0.000, 0.000, 0.000], [0.500, 0.500, 0.500], [0.041, 0.912, 0.715], [0.088, 0.285, 0.959], [0.215, 0.412, 0.541], [0.285, 0.959, 0.088], [0.412, 0.541, 0.215], [0.459, 0.785, 0.588], [0.541, 0.215, 0.412], [0.588, 0.459, 0.785], [0.715, 0.041, 0.912], [0.785, 0.588, 0.459], [0.912, 0.715, 0.041], [0.959, 0.088, 0.285]]}


B | {"formula": "Sr3InNiO6", "functional": "SCAN", "state": "single point on PBEsol structure", "sg": "P2_1/c, No. 14", "cell": [[9.330, 0.000, 0.000], [0.000, 9.570, 0.000], [-0.355, 0.000, 6.568]], "species": ["Sr", "Sr", "Sr", "Sr", "Sr", "Sr", "Sr", "Sr", "Sr", "Sr", "Sr", "Sr", "In", "In", "In", "In", "Ni", "Ni", "Ni", "Ni", "O", "O", "O", "O", "O", "O", "O", "O", "O", "O", "O", "O", "O", "O", "O", "O", "O", "O", "O", "O", "O", "O", "O", "O"], "frac_coords": [[0.058, 0.186, 0.116], [0.058, 0.314, 0.616], [0.255, 0.629, 0.759], [0.255, 0.871, 0.259], [0.428, 0.186, 0.377], [0.428, 0.314, 0.877], [0.572, 0.686, 0.123], [0.572, 0.814, 0.623], [0.745, 0.129, 0.741], [0.745, 0.371, 0.241], [0.942, 0.686, 0.384], [0.942, 0.814, 0.884], [0.248, 0.502, 0.255], [0.248, 0.998, 0.755], [0.752, 0.002, 0.245], [0.752, 0.498, 0.745], [0.000, 0.000, 0.500], [0.000, 0.500, 0.000], [0.500, 0.000, 0.000], [0.500, 0.500, 0.500], [0.018, 0.063, 0.777], [0.018, 0.437, 0.277], [0.133, 0.671, 0.100], [0.133, 0.829, 0.600], [0.179, 0.096, 0.461], [0.179, 0.404, 0.961], [0.301, 0.101, 0.042], [0.301, 0.399, 0.542], [0.390, 0.660, 0.419], [0.390, 0.840, 0.919], [0.473, 0.063, 0.717], [0.473, 0.437, 0.217], [0.527, 0.563, 0.783], [0.527, 0.937, 0.283], [0.610, 0.160, 0.081], [0.610, 0.340, 0.581], [0.699, 0.601, 0.458], [0.699, 0.899, 0.958], [0.821, 0.596, 0.039], [0.821, 0.904, 0.539], [0.867, 0.171, 0.400], [0.867, 0.329, 0.900], [0.982, 0.563, 0.723], [0.982, 0.937, 0.223]]}


Relative energy table, unit eV/atom: A 0.017; B 0.000


A | {"formula": "InNiOs3", "functional": "SCAN", "state": "single point on PBEsol structure", "dos_at_fermi_per_ev_cell": 5.76, "sg": "Pm-3m, No. 221", "cell": [[4.734, 0.000, 0.000], [0.000, 4.734, 0.000], [0.000, 0.000, 4.734]], "species": ["In", "Ni", "Os", "Os", "Os"], "frac_coords": [[0.000, 0.000, 0.000], [0.500, 0.500, 0.500], [0.000, 0.000, 0.500], [0.000, 0.500, 0.000], [0.500, 0.000, 0.000]]}


B | {"formula": "InNiOs3", "functional": "SCAN", "state": "single point on PBEsol structure", "dos_at_fermi_per_ev_cell": 4.11, "sg": "Pm-3m, No. 221", "cell": [[4.421, 0.000, 0.000], [0.000, 4.421, 0.000], [0.000, 0.000, 4.421]], "species": ["In", "Ni", "Os", "Os", "Os"], "frac_coords": [[0.000, 0.000, 0.000], [0.500, 0.500, 0.500], [0.000, 0.500, 0.500], [0.500, 0.000, 0.500], [0.500, 0.500, 0.000]]}


Relative energy table, unit eV/atom: A 1.608; B 0.000


A | {"formula": "In2ReNi", "functional": "SCAN", "state": "single point on PBEsol structure", "dos_at_fermi_per_ev_cell": 3.47, "sg": "Pmm2, No. 25", "cell": [[2.863, 0.000, 0.000], [0.000, 4.020, 0.000], [0.000, 0.000, 5.764]], "species": ["In", "In", "Re", "Ni"], "frac_coords": [[0.000, 0.000, 0.000], [0.500, 0.500, 0.318], [0.500, 0.500, 0.782], [0.000, 0.000, 0.540]]}


B | {"formula": "In2ReNi", "functional": "SCAN", "state": "single point on PBEsol structure", "dos_at_fermi_per_ev_cell": 6.72, "sg": "Amm2, No. 38", "cell": [[4.319, 0.000, 0.000], [0.000, 3.010, 0.000], [0.000, 0.000, 10.391]], "species": ["In", "In", "In", "In", "Re", "Re", "Ni", "Ni"], "frac_coords": [[0.000, 0.000, 0.000], [0.000, 0.500, 0.500], [0.500, 0.000, 0.319], [0.500, 0.500, 0.819], [0.000, 0.000, 0.727], [0.000, 0.500, 0.227], [0.500, 0.000, 0.599], [0.500, 0.500, 0.099]]}


Relative energy table, unit eV/atom: A 0.105; B 0.000


A | {"formula": "InNi2Se", "functional": "SCAN", "state": "single point on PBEsol structure", "dos_at_fermi_per_ev_cell": 1.80, "sg": "P4/mmm, No. 123", "cell": [[4.212, 0.000, 0.000], [0.000, 4.212, 0.000], [0.000, 0.000, 3.280]], "species": ["In", "Ni", "Ni", "Se"], "frac_coords": [[0.000, 0.000, 0.000], [0.000, 0.500, 0.500], [0.500, 0.000, 0.500], [0.500, 0.500, 0.000]]}


B | {"formula": "InNi2Se", "functional": "SCAN", "state": "single point on PBEsol structure", "dos_at_fermi_per_ev_cell": 4.84, "sg": "C2/m, No. 12", "cell": [[7.444, 0.000, 0.000], [0.000, 2.974, 0.000], [-2.288, 0.000, 5.832]], "species": ["In", "In", "Ni", "Ni", "Ni", "Ni", "Se", "Se"], "frac_coords": [[0.000, 0.000, 0.000], [0.500, 0.500, 0.000], [0.234, 0.500, 0.326], [0.266, 0.000, 0.674], [0.734, 0.000, 0.326], [0.766, 0.500, 0.674], [0.000, 0.500, 0.500], [0.500, 0.000, 0.500]]}


C | {"formula": "InNi2Se", "functional": "SCAN", "state": "single point on PBEsol structure", "dos_at_fermi_per_ev_cell": 2.25, "sg": "P4mm, No. 99", "cell": [[3.231, 0.000, 0.000], [0.000, 3.231, 0.000], [0.000, 0.000, 5.900]], "species": ["In", "Ni", "Ni", "Se"], "frac_coords": [[0.000, 0.000, 0.000], [0.000, 0.000, 0.468], [0.500, 0.500, 0.219], [0.500, 0.500, 0.600]]}


Relative energy table, unit eV/atom: A 0.223; B 0.101; C 0.000


A | {"formula": "In3NiTe", "functional": "SCAN", "state": "single point on PBEsol structure", "dos_at_fermi_per_ev_cell": 5.15, "sg": "Pm-3m, No. 221", "cell": [[5.615, 0.000, 0.000], [0.000, 5.615, 0.000], [0.000, 0.000, 5.615]], "species": ["In", "In", "In", "Ni", "Te"], "frac_coords": [[0.000, 0.000, 0.500], [0.000, 0.500, 0.000], [0.500, 0.000, 0.000], [0.500, 0.500, 0.500], [0.000, 0.000, 0.000]]}


B | {"formula": "In3NiTe", "functional": "SCAN", "state": "single point on PBEsol structure", "dos_at_fermi_per_ev_cell": 2.90, "sg": "Pm-3m, No. 221", "cell": [[4.970, 0.000, 0.000], [0.000, 4.970, 0.000], [0.000, 0.000, 4.970]], "species": ["In", "In", "In", "Ni", "Te"], "frac_coords": [[0.000, 0.000, 0.500], [0.000, 0.500, 0.000], [0.500, 0.000, 0.000], [0.000, 0.000, 0.000], [0.500, 0.500, 0.500]]}


Relative energy table, unit eV/atom: A 1.247; B 0.000


A | {"formula": "TlIn2Ni", "functional": "SCAN", "state": "single point on PBEsol structure", "dos_at_fermi_per_ev_cell": 3.95, "sg": "I4/mmm, No. 139", "cell": [[4.310, 0.000, 0.000], [0.000, 4.310, 0.000], [0.000, 0.000, 8.769]], "species": ["Tl", "Tl", "In", "In", "In", "In", "Ni", "Ni"], "frac_coords": [[0.000, 0.000, 0.000], [0.500, 0.500, 0.500], [0.000, 0.500, 0.250], [0.000, 0.500, 0.750], [0.500, 0.000, 0.250], [0.500, 0.000, 0.750], [0.000, 0.000, 0.500], [0.500, 0.500, 0.000]]}


B | {"formula": "TlIn2Ni", "functional": "SCAN", "state": "single point on PBEsol structure", "dos_at_fermi_per_ev_cell": 12.24, "sg": "F-43m, No. 216", "cell": [[6.951, 0.000, 0.000], [0.000, 6.951, 0.000], [0.000, 0.000, 6.951]], "species": ["Tl", "Tl", "Tl", "Tl", "In", "In", "In", "In", "In", "In", "In", "In", "Ni", "Ni", "Ni", "Ni"], "frac_coords": [[0.000, 0.000, 0.000], [0.000, 0.500, 0.500], [0.500, 0.000, 0.500], [0.500, 0.500, 0.000], [0.000, 0.000, 0.500], [0.000, 0.500, 0.000], [0.250, 0.250, 0.750], [0.250, 0.750, 0.250], [0.500, 0.000, 0.000], [0.500, 0.500, 0.500], [0.750, 0.250, 0.250], [0.750, 0.750, 0.750], [0.250, 0.250, 0.250], [0.250, 0.750, 0.750], [0.750, 0.250, 0.750], [0.750, 0.750, 0.250]]}


C | {"formula": "TlIn2Ni", "functional": "SCAN", "state": "single point on PBEsol structure", "dos_at_fermi_per_ev_cell": 10.85, "sg": "Fm-3m, No. 225", "cell": [[6.954, 0.000, 0.000], [0.000, 6.954, 0.000], [0.000, 0.000, 6.954]], "species": ["Tl", "Tl", "Tl", "Tl", "In", "In", "In", "In", "In", "In", "In", "In", "Ni", "Ni", "Ni", "Ni"], "frac_coords": [[0.000, 0.000, 0.000], [0.000, 0.500, 0.500], [0.500, 0.000, 0.500], [0.500, 0.500, 0.000], [0.250, 0.250, 0.250], [0.250, 0.250, 0.750], [0.250, 0.750, 0.250], [0.250, 0.750, 0.750], [0.750, 0.250, 0.250], [0.750, 0.250, 0.750], [0.750, 0.750, 0.250], [0.750, 0.750, 0.750], [0.000, 0.000, 0.500], [0.000, 0.500, 0.000], [0.500, 0.000, 0.000], [0.500, 0.500, 0.500]]}


Relative energy table, unit eV/atom: A 0.000; B 0.069; C 0.059


A | {"formula": "TlIn2Ni", "functional": "SCAN", "state": "single point on PBEsol structure", "dos_at_fermi_per_ev_cell": 3.70, "sg": "Immm, No. 71", "cell": [[3.009, 0.000, 0.000], [0.000, 4.432, 0.000], [0.000, 0.000, 12.739]], "species": ["Tl", "Tl", "In", "In", "In", "In", "Ni", "Ni"], "frac_coords": [[0.000, 0.000, 0.000], [0.500, 0.500, 0.500], [0.000, 0.500, 0.182], [0.000, 0.500, 0.818], [0.500, 0.000, 0.318], [0.500, 0.000, 0.682], [0.000, 0.000, 0.500], [0.500, 0.500, 0.000]]}


B | {"formula": "TlIn2Ni", "functional": "SCAN", "state": "single point on PBEsol structure", "dos_at_fermi_per_ev_cell": 3.38, "sg": "Cm, No. 8", "cell": [[9.227, 0.000, 0.000], [0.000, 3.130, 0.000], [-2.495, 0.000, 6.106]], "species": ["Tl", "Tl", "In", "In", "In", "In", "Ni", "Ni"], "frac_coords": [[0.000, 0.000, 0.000], [0.500, 0.500, 0.000], [0.179, 0.000, 0.701], [0.355, 0.000, 0.359], [0.679, 0.500, 0.701], [0.855, 0.500, 0.359], [0.132, 0.500, 0.365], [0.632, 0.000, 0.365]]}


Relative energy table, unit eV/atom: A 0.051; B 0.000


A | {"formula": "InSeO2", "functional": "SCAN", "state": "single point on PBEsol structure", "dos_at_fermi_per_ev_cell": 14.26, "sg": "Fm-3m, No. 225", "cell": [[5.877, 0.000, 0.000], [0.000, 5.877, 0.000], [0.000, 0.000, 5.877]], "species": ["In", "In", "In", "In", "Se", "Se", "Se", "Se", "O", "O", "O", "O", "O", "O", "O", "O"], "frac_coords": [[0.000, 0.000, 0.000], [0.000, 0.500, 0.500], [0.500, 0.000, 0.500], [0.500, 0.500, 0.000], [0.000, 0.000, 0.500], [0.000, 0.500, 0.000], [0.500, 0.000, 0.000], [0.500, 0.500, 0.500], [0.250, 0.250, 0.250], [0.250, 0.250, 0.750], [0.250, 0.750, 0.250], [0.250, 0.750, 0.750], [0.750, 0.250, 0.250], [0.750, 0.250, 0.750], [0.750, 0.750, 0.250], [0.750, 0.750, 0.750]]}


B | {"formula": "InSeO2", "functional": "SCAN", "state": "single point on PBEsol structure", "dos_at_fermi_per_ev_cell": 4.00, "sg": "R-3m, No. 166", "cell": [[3.289, 0.000, 0.000], [-1.645, 2.848, 0.000], [0.000, 0.000, 18.999]], "species": ["In", "In", "In", "Se", "Se", "Se", "O", "O", "O", "O", "O", "O"], "frac_coords": [[0.000, 0.000, 0.000], [0.333, 0.667, 0.667], [0.667, 0.333, 0.333], [0.000, 0.000, 0.500], [0.333, 0.667, 0.167], [0.667, 0.333, 0.833], [0.000, 0.000, 0.391], [0.000, 0.000, 0.609], [0.333, 0.667, 0.057], [0.333, 0.667, 0.276], [0.667, 0.333, 0.724], [0.667, 0.333, 0.943]]}


Relative energy table, unit eV/atom: A 1.237; B 0.000